Crystalline Ni2C at its relaxed geometry, computed with PBE.

Computed properties:
- N(E_F) (states/eV per cell) = 0.4
- magnetic moment (μB per formula unit) = 0.000
- energy above the most stable polymorph in this dataset (meV/atom) = 202
- DFT formation energy (eV per atom) = 0.380
- calculated total energy (eV per cell) = -19.645

Cell lengths 2.6745, 2.6745, 4.7080 Å; angles 90.00, 90.00, 120.00 degrees
With the nearest neighbours (Å) after each atom.
Element x y z (fractional)
Ni (0.0000, 0.0000, 0.2494)  3 C 1.94
Ni (0.0000, 0.0000, 0.7506)  3 C 1.94
C (0.3333, 0.6667, 0.0000)  6 Ni 1.94

=====

Crystalline Ni2C at its relaxed geometry, computed with PBE.

Computed properties:
- N(E_F) (states/eV per cell) = 3.7
- magnetic moment (μB per formula unit) = 0.000
- energy above the most stable polymorph in this dataset (meV/atom) = 65
- DFT formation energy (eV per atom) = 0.244
- calculated total energy (eV per cell) = -80.217

Cell lengths 4.7808, 4.7808, 4.7808 Å; angles 90.00, 90.00, 90.00 degrees
With the nearest neighbours (Å) after each atom.
Element x y z (fractional)
Ni (0.1582, 0.1582, 0.1582)  3 C 1.95
Ni (0.1582, 0.3418, 0.6582)  3 C 1.95
Ni (0.3418, 0.6582, 0.1582)  3 C 1.95
Ni (0.3418, 0.8418, 0.6582)  3 C 1.95
Ni (0.6582, 0.1582, 0.3418)  3 C 1.95
Ni (0.6582, 0.3418, 0.8418)  3 C 1.95
Ni (0.8418, 0.6582, 0.3418)  3 C 1.95
Ni (0.8418, 0.8418, 0.8418)  3 C 1.95
C (0.0000, 0.0000, 0.5000)  6 Ni 1.95
C (0.0000, 0.5000, 0.0000)  6 Ni 1.95
C (0.5000, 0.0000, 0.0000)  6 Ni 1.95
C (0.5000, 0.5000, 0.5000)  6 Ni 1.95

=====

Crystalline Ni3C5 at its relaxed geometry, computed with PBE.

Computed properties:
- N(E_F) (states/eV per cell) = 6.2
- magnetic moment (μB per formula unit) = 1.138
- energy above the most stable polymorph in this dataset (meV/atom) = 22
- DFT formation energy (eV per atom) = 0.995
- calculated total energy (eV per cell) = -55.505

Cell lengths 2.8347, 2.8347, 9.2001 Å; angles 90.00, 90.00, 90.00 degrees
With the nearest neighbours (Å) after each atom.
Element x y z (fractional)
Ni (0.0000, 0.0000, 0.0000)  8 C 2.11
Ni (0.5000, 0.5000, 0.2820)  5 C 1.92-2.12
Ni (0.5000, 0.5000, 0.7180)  5 C 1.92-2.12
C (0.0000, 0.0000, 0.3568)  1 C 1.32
C (0.0000, 0.0000, 0.5000)  2 C 1.32
C (0.0000, 0.0000, 0.6432)  1 C 1.32
C (0.5000, 0.5000, 0.0733)  1 C 1.35
C (0.5000, 0.5000, 0.9267)  1 C 1.35

=====

Crystalline NiC3 at its relaxed geometry, computed with PBE.

Computed properties:
- N(E_F) (states/eV per cell) = 1.4
- magnetic moment (μB per formula unit) = 0.000
- energy above the most stable polymorph in this dataset (meV/atom) = 1278
- DFT formation energy (eV per atom) = 1.931
- calculated total energy (eV per cell) = -51.461

Cell lengths 2.5248, 3.6421, 8.0542 Å; angles 90.00, 90.00, 90.00 degrees
With the nearest neighbours (Å) after each atom.
Element x y z (fractional)
Ni (0.0000, 0.0000, 0.0000)  8 C 2.06-2.22
Ni (0.5000, 0.5000, 0.5000)  8 C 2.06-2.22
C (0.0000, 0.0000, 0.5000)  4 C 1.58
C (0.0000, 0.5000, 0.1184)  2 C 1.58
C (0.0000, 0.5000, 0.8816)  2 C 1.58
C (0.5000, 0.0000, 0.3816)  2 C 1.58
C (0.5000, 0.0000, 0.6184)  2 C 1.58
C (0.5000, 0.5000, 0.0000)  4 C 1.58

=====

Crystalline Ni7C5 at its relaxed geometry, computed with PBE.

Computed properties:
- N(E_F) (states/eV per cell) = 10.4
- magnetic moment (μB per formula unit) = 0.000
- DFT formation energy (eV per atom) = 1.300
- calculated total energy (eV per cell) = -70.983

Cell lengths 5.4996, 5.4996, 5.4996 Å; angles 101.97, 101.97, 125.82 degrees
With the nearest neighbours (Å) after each atom.
Element x y z (fractional)
Ni (0.0000, 0.0000, 0.0000)  5 C 1.84-2.06
Ni (0.3533, 0.8533, 0.5000)  4 Ni 2.22-2.27
Ni (0.3621, 0.5930, 0.7691)  3 C 1.96-2.00
Ni (0.5930, 0.3621, 0.7691)  3 C 1.96-2.00
Ni (0.5930, 0.8239, 0.2309)  3 C 1.96-2.00
Ni (0.8239, 0.5930, 0.2309)  3 C 1.96-2.00
Ni (0.8533, 0.3533, 0.5000)  4 Ni 2.22-2.27
C (0.0775, 0.0775, 0.4005)  3 Ni 2.00-2.06
C (0.0775, 0.6770, 0.0000)  3 Ni 2.00-2.06
C (0.3672, 0.3672, 0.0000)  5 Ni 1.84-1.96
C (0.6770, 0.0775, 0.0000)  3 Ni 2.00-2.06
C (0.6770, 0.6770, 0.5995)  3 Ni 2.00-2.06

=====

Crystalline Ni5C at its relaxed geometry, computed with PBE.

Computed properties:
- N(E_F) (states/eV per cell) = 9.7
- magnetic moment (μB per formula unit) = 0.683
- energy above the most stable polymorph in this dataset (meV/atom) = 981
- DFT formation energy (eV per atom) = 1.153
- calculated total energy (eV per cell) = -31.213

Cell lengths 4.5606, 4.5606, 4.5606 Å; angles 60.00, 60.00, 60.00 degrees
With the nearest neighbours (Å) after each atom.
Element x y z (fractional)
Ni (0.0000, 0.0000, 0.0000)  12 Ni 2.67, 4 C 2.79
Ni (0.1247, 0.6251, 0.6251)  6 Ni 2.28
Ni (0.6251, 0.1247, 0.6251)  6 Ni 2.28
Ni (0.6251, 0.6251, 0.1247)  6 Ni 2.28
Ni (0.6251, 0.6251, 0.6251)  6 Ni 2.28
C (0.2500, 0.2500, 0.2500)  16 Ni 2.67-2.79